This record from Alexandria via LeMat-Bulk describes a PBEsol-optimized structure of BeAgS2. The functional is SCAN.

Calculated values
Energy relative to the elements, uncorrected   -495.8 meV/atom

Cell lengths 6.118, 6.118, 6.118 Å; angles 127.64, 127.64, 77.22 degrees
Fractional positions:
Be: 0.000 0.000 0.000
Be: 0.750 0.250 0.500
Ag: 0.250 0.750 0.500
Ag: 0.500 0.500 0.000
S: 0.069 0.625 0.944
S: 0.375 0.319 0.444
S: 0.681 0.125 0.056
S: 0.875 0.931 0.556


This record from Alexandria via LeMat-Bulk describes a PBEsol-optimized structure of SiIN3. The functional is SCAN.

Calculated values
Energy relative to the elements, uncorrected   2363.9 meV/atom

Cell lengths 3.926, 3.926, 3.926 Å; angles 90.00, 90.00, 90.00 degrees
Fractional positions:
Si: 0.000 0.000 0.000
I: 0.500 0.500 0.500
N: 0.000 0.500 0.500
N: 0.500 0.000 0.500
N: 0.500 0.500 0.000


This record from Alexandria via LeMat-Bulk describes a PBEsol-optimized structure of K3MoF6. The functional is SCAN.

Calculated values
Energy relative to the elements, uncorrected   -2817.3 meV/atom

Cell lengths 6.341, 6.341, 6.341 Å; angles 60.00, 60.00, 60.00 degrees
Fractional positions:
K: 0.000 0.000 0.000
K: 0.250 0.250 0.250
K: 0.750 0.750 0.750
Mo: 0.500 0.500 0.500
F: 0.273 0.273 0.727
F: 0.273 0.727 0.273
F: 0.273 0.727 0.727
F: 0.727 0.273 0.273
F: 0.727 0.273 0.727
F: 0.727 0.727 0.273


This record from Alexandria via LeMat-Bulk describes a PBEsol-optimized structure of IrRu2Rh. The functional is SCAN.

Calculated values
Energy above the most stable polymorph in this dataset   0.01 eV per formula unit
DFT formation energy   0.00 eV/atom

Cell lengths 2.667, 3.796, 5.339 Å; angles 90.00, 90.00, 90.00 degrees
Fractional positions:
Ir: 0.000 0.000 0.000
Ru: 0.500 0.500 0.250
Ru: 0.500 0.500 0.750
Rh: 0.000 0.000 0.500


This record from Alexandria via LeMat-Bulk describes a PBEsol-optimized structure of FeTc2Au. The functional is SCAN.

Calculated values
Energy above the most stable polymorph in this dataset   0.48 eV per formula unit
DFT formation energy   0.23 eV/atom

Cell lengths 9.026, 9.026, 9.026 Å; angles 17.10, 17.10, 17.10 degrees
Fractional positions:
Fe: 0.000 0.000 0.000
Tc: 0.258 0.258 0.258
Tc: 0.742 0.742 0.742
Au: 0.500 0.500 0.500


This record from Alexandria via LeMat-Bulk describes a PBEsol-optimized structure of ScCdAs. The functional is SCAN.

Calculated values
DFT formation energy   -0.46 eV/atom

Cell lengths 5.510, 5.510, 5.510 Å; angles 141.91, 141.91, 54.96 degrees
Fractional positions:
Sc: 0.000 0.000 0.000
Cd: 0.303 0.303 0.000
As: 0.599 0.599 0.000


In A^3/atom, the volume values for the records above are, in order, 17.42 12.10 18.03 13.51 13.87 21.06.
In states/eV per cell, the D(E_F) values for the records above are, in order, 6.7 1.7 0.0 3.9 2.9 1.9.